# 1
# Pr7Tm2Sc2 | Alexandria | PBE | relaxed
# **Density of states at the Fermi level**: 17.9 states/eV/f.u.
# **Energy relative to the lowest polymorph listed for this composition**: 2.20 eV per formula unit
# **Volume**: 34.94 Å³ per atom
# **Density**: 6109 kg/m3
data_Pr7Tm2Sc2
_chemical_formula_sum 'Pr14 Tm4 Sc4'
_cell_length_a 6.496
_cell_length_b 11.701
_cell_length_c 10.114
_cell_angle_alpha 90.00
_cell_angle_beta 90.00
_cell_angle_gamma 90.00
_symmetry_space_group_name_H-M 'C m m m'
_symmetry_Int_Tables_number 65
_symmetry_space_group_name_Hall '-C 2 2'
loop_
_atom_site_label
_atom_site_fract_x
_atom_site_fract_y
_atom_site_fract_z
_atom_site_occupancy
Pr1 0.000 0.000 0.000 1
Pr2 0.000 0.500 0.208 1
Pr3 0.250 0.250 0.316 1
Tm1 0.000 0.285 0.000 1
Sc1 0.247 0.500 0.500 1


# 2
# PrTm2Sc3 | Alexandria | PBE | relaxed
# **Density of states at the Fermi level**: 9.6 states/eV/f.u.
# **Energy relative to the lowest polymorph listed for this composition**: 0.00 eV per formula unit
# **Volume**: 28.19 Å³ per atom
# **Density**: 6025 kg/m3
data_PrTm2Sc3
_chemical_formula_sum 'Pr2 Tm4 Sc6'
_cell_length_a 5.950
_cell_length_b 3.448
_cell_length_c 16.605
_cell_angle_alpha 90.00
_cell_angle_beta 96.83
_cell_angle_gamma 90.00
_symmetry_space_group_name_H-M 'P 1 21/m 1'
_symmetry_Int_Tables_number 11
_symmetry_space_group_name_Hall '-P 2yb'
loop_
_atom_site_label
_atom_site_fract_x
_atom_site_fract_y
_atom_site_fract_z
_atom_site_occupancy
Pr1 0.028 0.250 0.332 1
Tm1 0.250 0.250 0.000 1
Tm2 0.474 0.250 0.668 1
Sc1 0.139 0.750 0.163 1
Sc2 0.255 0.750 0.501 1
Sc3 0.364 0.750 0.835 1


- Among the records above, which one has the lowest density of states at the Fermi level?
  PrTm2Sc3


- Which formula does entry 2 have?
  PrTm2Sc3